DFT (PBE-GGA) results for a geometry-optimized PmThSbN structure.

a = 3.770 Å, b = 3.979 Å, c = 13.420 Å
α = 90.00°, β = 90.00°, γ = 90.00°
Space group Imm2 (No. 44)
Symmetry-distinct sites (fractional):
Pm  0.000  0.000  0.000 [2 per cell]
Th  0.000  0.000  0.699 [2 per cell]
Sb  0.000  0.000  0.356 [2 per cell]
N  0.000  0.500  0.611 [2 per cell]

=====

DFT (PBE-GGA) results for a geometry-optimized ZnPtCl2 structure.

## Properties
relative energy among the computed polymorphs: 24.55 kJ/mol of atoms

a = 5.030 Å, b = 3.715 Å, c = 6.712 Å
α = 90.00°, β = 111.89°, γ = 90.00°
Space group P2/m (No. 10)
Symmetry-distinct sites (fractional):
Zn  0.000  0.000  0.000 [1 per cell]
Pt  0.500  0.000  0.000 [1 per cell]
Cl  0.370  0.500  0.740 [2 per cell]

=====

DFT (PBE-GGA) results for a geometry-optimized Li2CoSe structure.

a = 2.774 Å, b = 2.774 Å, c = 7.847 Å
α = 90.00°, β = 90.00°, γ = 90.00°
Space group P4/mmm (No. 123)
Symmetry-distinct sites (fractional):
Li  0.000  0.000  0.248 [2 per cell]
Co  0.500  0.500  0.000 [1 per cell]
Se  0.500  0.500  0.500 [1 per cell]

=====

DFT (PBE-GGA) results for a geometry-optimized BaZn2Si structure.

a = 4.997 Å, b = 8.614 Å, c = 5.107 Å
α = 90.00°, β = 90.00°, γ = 90.00°
Space group Cmmm (No. 65)
Symmetry-distinct sites (fractional):
Ba  0.000  0.000  0.000 [2 per cell]
Zn  0.250  0.250  0.500 [4 per cell]
Si  0.000  0.500  0.500 [2 per cell]

=====

DFT (PBE-GGA) results for a geometry-optimized Na2AcMnS4 structure.

a = 11.507 Å, b = 11.147 Å, c = 8.120 Å
α = 90.00°, β = 132.75°, γ = 90.00°
Space group C2/c (No. 15)
Symmetry-distinct sites (fractional):
Na  0.000  0.000  0.000 [4 per cell]
Na  0.250  0.250  0.000 [4 per cell]
Ac  0.250  0.250  0.500 [4 per cell]
Mn  0.000  0.500  0.000 [4 per cell]
S  0.005  0.282  0.002 [8 per cell]
S  0.225  0.493  0.037 [8 per cell]

=====

DFT (PBE-GGA) results for a geometry-optimized TaHg2Cl structure.

## Properties
relative energy among the computed polymorphs: 28.93 kJ/mol of atoms

a = 3.144 Å, b = 4.546 Å, c = 5.986 Å
α = 90.00°, β = 104.81°, γ = 90.00°
Space group Pm (No. 6)
Symmetry-distinct sites (fractional):
Ta  0.000  0.000  0.000 [1 per cell]
Hg  0.380  0.500  0.753 [1 per cell]
Hg  0.731  0.000  0.470 [1 per cell]
Cl  0.094  0.500  0.191 [1 per cell]

=====

Number 1: formation energy from raw total energies -447 kJ/mol of formula units. Number 2: formation energy from raw total energies -60 kJ/mol of formula units. Number 3: formation energy from raw total energies -13 kJ/mol of formula units. Number 4: formation energy from raw total energies -43 kJ/mol of formula units. Number 5: formation energy from raw total energies -939 kJ/mol of formula units. Number 6: formation energy from raw total energies 61 kJ/mol of formula units.